Entry from Alexandria via LeMat-Bulk: SbCI3 after structural relaxation (PBEsol).

Unit cell a=5.0070 b=5.0070 c=5.0070 alpha=90.00 beta=90.00 gamma=90.00
Closest atoms and distances in Å follow each position.
Positions (direct):
I (0.0000, 0.5000, 0.0000)  2 C 2.50
I (0.0000, 0.0000, 0.5000)  2 C 2.50
I (0.5000, 0.0000, 0.0000)  2 C 2.50
Sb (0.5000, 0.5000, 0.5000)  12 I 3.54
C (0.0000, 0.0000, 0.0000)  6 I 2.50

Summary:
**Total magnetization**: 0.000 μB/atom
**Uncorrected formation energy**: 1.038 eV per atom
**N(E_F)**: 0.58 states/eV per atom
**E_tot**: -2.8620 eV/atom

=====

Entry from Alexandria via LeMat-Bulk: KIrPb after structural relaxation (PBEsol).

Unit cell a=3.3911 b=3.3911 c=6.8928 alpha=104.24 beta=104.24 gamma=90.00
Closest atoms and distances in Å follow each position.
Positions (direct):
Ir (0.0245, 0.0245, 0.0490)  4 Pb 2.76
K (0.3452, 0.3452, 0.6903)  4 Ir 3.33, 4 K 3.39, 5 Pb 3.67-3.69
Pb (0.6303, 0.6303, 0.2607)  4 Ir 2.76

Summary:
**Total magnetization**: 0.000 μB/atom
**N(E_F)**: 0.54 states/eV per atom
**E_tot**: -4.6082 eV/atom
**Distance to the lowest polymorph of the same formula**: 0 meV/atom

=====

Entry from Alexandria via LeMat-Bulk: CuNiH3 after structural relaxation (PBEsol).

Unit cell a=3.1685 b=3.1685 c=3.1685 alpha=90.00 beta=90.00 gamma=90.00
Closest atoms and distances in Å follow each position.
Positions (direct):
Ni (0.0000, 0.0000, 0.0000)  6 H 1.58
Cu (0.5000, 0.5000, 0.5000)  12 H 2.24
H (0.0000, 0.5000, 0.0000)  2 Ni 1.58
H (0.0000, 0.0000, 0.5000)  2 Ni 1.58
H (0.5000, 0.0000, 0.0000)  2 Ni 1.58

Summary:
**Total magnetization**: 0.000 μB/atom
**N(E_F)**: 0.17 states/eV per atom
**E_tot**: -3.9349 eV/atom

=====

Entry from Alexandria via LeMat-Bulk: Si2RuAu after structural relaxation (PBEsol).

Unit cell a=5.4023 b=5.4023 c=6.6333 alpha=114.03 beta=114.03 gamma=90.00
Closest atoms and distances in Å follow each position.
Positions (direct):
Ru (0.7500, 0.2500, 0.5000)  4 Si 2.27
Ru (0.5000, 0.5000, 0.0000)  4 Si 2.27
Si (0.4001, 0.8750, 0.2500)  2 Ru 2.27, 2 Au 2.42
Si (0.8499, 0.3750, 0.2500)  2 Ru 2.27, 2 Au 2.42
Si (0.1250, 0.1501, 0.7500)  2 Ru 2.27, 2 Au 2.42
Si (0.6250, 0.5999, 0.7500)  2 Ru 2.27, 2 Au 2.42
Au (0.2500, 0.7500, 0.5000)  4 Si 2.42
Au (0.0000, 0.0000, 0.0000)  4 Si 2.42

Summary:
**Total magnetization**: 0.000 μB/atom
**Uncorrected formation energy**: 0.242 eV per atom
**N(E_F)**: 0.43 states/eV per atom
**E_tot**: -6.1556 eV/atom
**Distance to the lowest polymorph of the same formula**: 512 meV/atom

=====

Entry from Alexandria via LeMat-Bulk: Al2FeTe after structural relaxation (PBEsol).

Unit cell a=3.3782 b=4.6468 c=4.6468 alpha=111.98 beta=90.00 gamma=90.00
Closest atoms and distances in Å follow each position.
Positions (direct):
Te (0.5000, 0.5000, 0.5000)  2 Fe 2.60, 8 Al 2.87
Fe (0.5000, 0.0000, 0.0000)  2 Te 2.60, 8 Al 2.87
Al (0.0000, 0.5000, 0.0000)  2 Al 2.60, 4 Fe 2.87, 4 Te 2.87
Al (0.0000, 0.0000, 0.5000)  2 Al 2.60, 4 Te 2.87, 4 Fe 2.87

Summary:
**Total magnetization**: 0.420 μB/atom
**Uncorrected formation energy**: 0.306 eV per atom
**N(E_F)**: 0.83 states/eV per atom
**E_tot**: -4.8625 eV/atom

=====

Entry from Alexandria via LeMat-Bulk: KCoSe after structural relaxation (PBEsol).

Unit cell a=4.6316 b=4.6316 c=4.6316 alpha=60.00 beta=60.00 gamma=60.00
Closest atoms and distances in Å follow each position.
Positions (direct):
K (0.5000, 0.5000, 0.5000)  4 Se 2.84
Co (0.0000, 0.0000, 0.0000)  4 Se 2.84
Se (0.7500, 0.7500, 0.7500)  4 K 2.84, 4 Co 2.84

Summary:
**Total magnetization**: 0.677 μB/atom
**Uncorrected formation energy**: 0.358 eV per atom
**N(E_F)**: 0.85 states/eV per atom
**E_tot**: -3.8827 eV/atom